VASP calculation (SCAN) on LiRe at its PBEsol-relaxed geometry.

Values from the calculation:
Crystal system: cubic
Energy of formation, eV/f.u.: 6.76
Size of the total moment, μB/cell: 0.6

Unit cell a=3.545 b=3.545 c=3.545 alpha=60.00 beta=60.00 gamma=60.00
Last column: magnetic moment on the atom in μB.
Atoms (fractional coordinates):
Re (0.250, 0.250, 0.250)  0.49
Li (0.000, 0.000, 0.000)  -0.02

VASP calculation (SCAN) on LiRe at its PBEsol-relaxed geometry.

Values from the calculation:
Crystal system: hexagonal
Energy of formation, eV/f.u.: 3.31
Size of the total moment, μB/cell: 0.0

Unit cell a=3.490 b=3.490 c=5.162 alpha=90.00 beta=90.00 gamma=120.00
Atoms (fractional coordinates):
Li (0.667, 0.333, 0.750)
Li (0.333, 0.667, 0.250)
Re (0.000, 0.000, 0.000)
Re (0.000, 0.000, 0.500)

VASP calculation (SCAN) on LiRe5 at its PBEsol-relaxed geometry.

Values from the calculation:
Crystal system: orthorhombic
Energy of formation, eV/f.u.: 0.09
Size of the total moment, μB/cell: 0.0

Unit cell a=4.274 b=4.287 c=5.074 alpha=90.00 beta=114.91 gamma=90.00
Atoms (fractional coordinates):
Re (0.338, 0.500, 0.675)
Re (0.168, 0.000, 0.337)
Re (0.000, 0.500, 0.000)
Re (0.832, 0.000, 0.663)
Re (0.662, 0.500, 0.325)
Li (0.500, 0.000, 0.000)

VASP calculation (SCAN) on LiRe at its PBEsol-relaxed geometry.

Values from the calculation:
Crystal system: hexagonal
Energy of formation, eV/f.u.: 3.19
Size of the total moment, μB/cell: 0.0

Unit cell a=3.461 b=3.461 c=4.661 alpha=90.00 beta=90.00 gamma=120.00
Atoms (fractional coordinates):
Li (0.000, 0.000, 0.000)
Li (0.000, 0.000, 0.500)
Re (0.667, 0.333, 0.750)
Re (0.333, 0.667, 0.250)

VASP calculation (SCAN) on LiRe at its PBEsol-relaxed geometry.

Values from the calculation:
Crystal system: orthorhombic
Energy of formation, eV/f.u.: 0.50
Size of the total moment, μB/cell: 0.0

Unit cell a=2.614 b=4.106 c=5.534 alpha=90.00 beta=90.00 gamma=90.00
Atoms (fractional coordinates):
Li (0.000, 0.000, 0.607)
Li (0.500, 0.500, 0.393)
Re (0.000, 0.000, 0.087)
Re (0.500, 0.500, 0.913)

VASP calculation (SCAN) on LiReS2 at its PBEsol-relaxed geometry.

Values from the calculation:
ΔE_f (raw), kJ/mol of formula units: 3.4
Crystal system: trigonal
Size of the total moment, μB/cell: 0.0

Unit cell a=2.897 b=2.897 c=8.185 alpha=79.81 beta=79.81 gamma=60.00
Atoms (fractional coordinates):
Re (0.000, 0.000, 0.000)
S (0.907, 0.907, 0.280)
S (0.093, 0.093, 0.720)
Li (0.500, 0.500, 0.500)

VASP calculation (SCAN) on Li2ReSb at its PBEsol-relaxed geometry.

Values from the calculation:
ΔE_f (raw), kJ/mol of formula units: 103.3
Crystal system: orthorhombic
Size of the total moment, μB/cell: 0.0

Unit cell a=2.750 b=2.750 c=9.035 alpha=90.00 beta=90.00 gamma=100.11
Atoms (fractional coordinates):
Re (0.500, 0.500, 0.500)
Sb (0.500, 0.500, 0.000)
Li (0.000, 0.000, 0.268)
Li (0.000, 0.000, 0.732)

VASP calculation (SCAN) on Li2ReSb at its PBEsol-relaxed geometry.

Values from the calculation:
ΔE_f (raw), kJ/mol of formula units: 156.6
Crystal system: tetragonal
Size of the total moment, μB/cell: 0.0

Unit cell a=3.480 b=3.480 c=5.205 alpha=90.00 beta=90.00 gamma=90.00
Atoms (fractional coordinates):
Re (0.500, 0.500, 0.000)
Sb (0.500, 0.500, 0.500)
Li (0.000, 0.000, 0.774)
Li (0.000, 0.000, 0.226)

VASP calculation (SCAN) on Li4ReSb at its PBEsol-relaxed geometry.

Values from the calculation:
ΔE_f (raw), kJ/mol of formula units: 166.3
Crystal system: cubic
Size of the total moment, μB/cell: 1.6

Unit cell a=4.854 b=4.854 c=4.854 alpha=60.00 beta=60.00 gamma=60.00
Last column: magnetic moment on the atom in μB.
Atoms (fractional coordinates):
Li (0.377, 0.377, 0.377)  0.03
Li (0.377, 0.377, 0.868)  0.03
Li (0.868, 0.377, 0.377)  0.03
Li (0.377, 0.868, 0.377)  0.03
Re (0.750, 0.750, 0.750)  0.93
Sb (0.000, 0.000, 0.000)  0.00

VASP calculation (SCAN) on Li2ReSb at its PBEsol-relaxed geometry.

Values from the calculation:
ΔE_f (raw), kJ/mol of formula units: 95.9
Crystal system: tetragonal
Size of the total moment, μB/cell: 1.0

Unit cell a=3.882 b=3.882 c=4.027 alpha=90.00 beta=90.00 gamma=90.00
Last column: magnetic moment on the atom in μB.
Atoms (fractional coordinates):
Re (0.500, 0.500, 0.500)  0.79
Li (0.000, 0.500, 0.000)  -0.01
Li (0.500, 0.000, 0.000)  -0.01
Sb (0.000, 0.000, 0.500)  0.02

VASP calculation (SCAN) on Li2ReSb at its PBEsol-relaxed geometry.

Values from the calculation:
ΔE_f (raw), kJ/mol of formula units: 75.7
Crystal system: orthorhombic
Size of the total moment, μB/cell: 0.0

Unit cell a=2.703 b=4.618 c=5.182 alpha=90.00 beta=90.00 gamma=90.00
Atoms (fractional coordinates):
Re (0.500, 0.000, 0.513)
Sb (0.500, 0.500, 0.245)
Li (0.000, 0.000, 0.008)
Li (0.000, 0.500, 0.734)

VASP calculation (SCAN) on LiScRe at its PBEsol-relaxed geometry.

Values from the calculation:
Crystal system: orthorhombic
Energy of formation, eV/f.u.: 0.74
Size of the total moment, μB/cell: 0.0

Unit cell a=2.746 b=2.746 c=7.332 alpha=97.08 beta=97.08 gamma=109.98
Atoms (fractional coordinates):
Li (0.014, 0.014, 0.028)
Re (0.668, 0.668, 0.335)
Sc (0.318, 0.318, 0.636)

VASP calculation (SCAN) on LiScRe at its PBEsol-relaxed geometry.

Values from the calculation:
Crystal system: trigonal
Energy of formation, eV/f.u.: 0.48
Size of the total moment, μB/cell: 0.0

Unit cell a=2.515 b=4.653 c=4.653 alpha=120.00 beta=90.00 gamma=90.00
Atoms (fractional coordinates):
Li (0.067, 0.000, 0.000)
Re (0.698, 0.333, 0.667)
Sc (0.235, 0.667, 0.333)

VASP calculation (SCAN) on Li2ReSe at its PBEsol-relaxed geometry.

Values from the calculation:
ΔE_f (raw), kJ/mol of formula units: -22.0
Crystal system: orthorhombic
Size of the total moment, μB/cell: 0.0

Unit cell a=2.653 b=2.653 c=8.599 alpha=90.00 beta=90.00 gamma=103.44
Atoms (fractional coordinates):
Li (0.000, 0.000, 0.246)
Li (0.000, 0.000, 0.754)
Re (0.500, 0.500, 0.500)
Se (0.500, 0.500, 0.000)

VASP calculation (SCAN) on LiRe2Si at its PBEsol-relaxed geometry.

Values from the calculation:
ΔE_f (raw), kJ/mol of formula units: 20.1
Crystal system: monoclinic
Size of the total moment, μB/cell: 0.0

Unit cell a=2.766 b=4.085 c=5.090 alpha=90.00 beta=105.77 gamma=90.00
Atoms (fractional coordinates):
Li (0.292, 0.500, 0.709)
Re (0.952, 0.000, 0.031)
Re (0.556, 0.500, 0.234)
Si (0.700, 0.000, 0.526)

VASP calculation (SCAN) on LiRe2Si at its PBEsol-relaxed geometry.

Values from the calculation:
ΔE_f (raw), kJ/mol of formula units: -74.6
Crystal system: cubic
Size of the total moment, μB/cell: 0.0

Unit cell a=4.194 b=4.194 c=4.194 alpha=60.00 beta=60.00 gamma=60.00
Atoms (fractional coordinates):
Re (0.000, 0.000, 0.000)
Re (0.750, 0.750, 0.750)
Si (0.250, 0.250, 0.250)
Li (0.500, 0.500, 0.500)

VASP calculation (SCAN) on LiReSi3 at its PBEsol-relaxed geometry.

Values from the calculation:
ΔE_f (raw), kJ/mol of formula units: 718.2
Crystal system: cubic
Size of the total moment, μB/cell: 0.0

Unit cell a=4.097 b=4.097 c=4.097 alpha=90.00 beta=90.00 gamma=90.00
Atoms (fractional coordinates):
Re (0.500, 0.500, 0.500)
Si (0.000, 0.500, 0.000)
Si (0.000, 0.000, 0.500)
Si (0.500, 0.000, 0.000)
Li (0.000, 0.000, 0.000)

VASP calculation (SCAN) on Li2Re2Sn at its PBEsol-relaxed geometry.

Values from the calculation:
Crystal system: tetragonal
Energy of formation, eV/f.u.: 2.54
Size of the total moment, μB/cell: 0.0

Unit cell a=3.542 b=3.542 c=7.106 alpha=104.43 beta=104.43 gamma=90.00
Atoms (fractional coordinates):
Re (0.250, 0.750, 0.500)
Re (0.750, 0.250, 0.500)
Sn (0.000, 0.000, 0.000)
Li (0.403, 0.403, 0.806)
Li (0.597, 0.597, 0.194)

VASP calculation (SCAN) on SrLi2Re at its PBEsol-relaxed geometry.

Values from the calculation:
Crystal system: orthorhombic
Energy of formation, eV/f.u.: 2.90
Size of the total moment, μB/cell: 0.0

Unit cell a=2.788 b=3.788 c=7.709 alpha=90.00 beta=90.00 gamma=90.00
Atoms (fractional coordinates):
Li (0.000, 0.000, 0.088)
Li (0.500, 0.500, 0.273)
Re (0.000, 0.000, 0.435)
Sr (0.500, 0.500, 0.704)

VASP calculation (SCAN) on SrLi2Re at its PBEsol-relaxed geometry.

Values from the calculation:
Crystal system: orthorhombic
Energy of formation, eV/f.u.: 2.79
Size of the total moment, μB/cell: 0.2

Unit cell a=2.799 b=2.799 c=10.050 alpha=90.00 beta=90.00 gamma=95.44
Atoms (fractional coordinates):
Li (0.000, 0.000, 0.971)
Li (0.500, 0.500, 0.725)
Re (0.000, 0.000, 0.527)
Sr (0.500, 0.500, 0.277)